Entry 1:
NdYO3 | PBE | optimized geometry Values from VASP.

```
&SYSTEM
  ibrav = 0, nat = 20, ntyp = 3
/
ATOMIC_SPECIES
O 16.00 O.upf
Nd 144.24 Nd.upf
Y 88.91 Y.upf
CELL_PARAMETERS angstrom
3.429 0.000 0.000
0.000 6.146 0.000
0.000 0.000 13.316
ATOMIC_POSITIONS angstrom
O 0.857 0.778 10.446
Nd 0.857 4.187 4.055
O 2.572 5.368 2.870
O 2.572 2.881 11.896
O 2.572 2.295 3.788
O 0.857 3.851 9.528
O 0.857 0.192 5.238
O 2.572 3.937 5.884
Y 2.572 4.550 0.691
Y 0.857 4.670 7.349
Y 2.572 1.477 5.967
O 2.572 0.864 0.774
Nd 2.572 5.032 10.713
O 0.857 3.265 1.420
O 0.857 2.209 7.432
O 2.572 5.954 8.078
Nd 2.572 1.959 9.261
Y 0.857 1.596 12.625
Nd 0.857 1.114 2.603
O 0.857 5.282 12.542
```

=====

Entry 2:
NdYO2 | PBE | optimized geometry Values from VASP.

```
&SYSTEM
  ibrav = 0, nat = 4, ntyp = 3
/
ATOMIC_SPECIES
O 16.00 O.upf
Nd 144.24 Nd.upf
Y 88.91 Y.upf
CELL_PARAMETERS angstrom
-0.051 -3.074 -1.919
2.521 -0.596 -2.534
4.767 -4.169 3.130
ATOMIC_POSITIONS angstrom
O 3.412 -3.157 1.545
Nd 0.000 0.000 0.000
O 3.825 -4.682 -2.867
Y 3.618 -3.919 -0.661
```

=====

Entry 3:
! PBE NdY2O, optimized geometry; values from VASP
! Distance to the lowest polymorph of the same formula ... 0.0000 eV/atom
&SYSTEM
  ibrav = 0, nat = 4, ntyp = 3
/
ATOMIC_SPECIES
Nd 144.24 Nd.upf
O 16.00 O.upf
Y 88.91 Y.upf
CELL_PARAMETERS angstrom
-0.102 -0.302 -3.523
-0.178 -3.200 -1.496
-8.973 -0.779 -1.449
ATOMIC_POSITIONS angstrom
Nd -4.626 -2.141 -3.234
O 0.000 0.000 0.000
Y -1.463 -1.108 -1.638
Y -7.790 -3.174 -4.830

=====

Entry 4:
! PBE Nd2YO, optimized geometry; values from VASP
! Distance to the lowest polymorph of the same formula ... 0.0000 eV/atom
&SYSTEM
  ibrav = 0, nat = 4, ntyp = 3
/
ATOMIC_SPECIES
Nd 144.24 Nd.upf
O 16.00 O.upf
Y 88.91 Y.upf
CELL_PARAMETERS angstrom
-3.004 -0.627 -1.970
0.221 -0.259 -3.630
0.502 -9.467 -1.126
ATOMIC_POSITIONS angstrom
Nd -0.006 -6.209 -1.389
Nd -2.275 -4.144 -5.337
O -1.140 -5.177 -3.363
Y 0.000 0.000 0.000

=====

Entry 5:
! PBE NdY3O, optimized geometry; values from VASP
! Distance to the lowest polymorph of the same formula ... 0.0412 eV/atom
&SYSTEM
  ibrav = 0, nat = 5, ntyp = 3
/
ATOMIC_SPECIES
Nd 144.24 Nd.upf
Y 88.91 Y.upf
O 16.00 O.upf
CELL_PARAMETERS angstrom
4.997 0.000 0.000
0.000 4.997 0.000
0.000 0.000 4.997
ATOMIC_POSITIONS angstrom
Nd 2.499 2.499 2.499
Y 0.000 2.499 0.000
Y 2.499 0.000 0.000
Y 0.000 0.000 2.499
O 0.000 0.000 0.000

=====

Entry 6:
NdYO4 | PBE | optimized geometry Values from VASP.

```
&SYSTEM
  ibrav = 0, nat = 6, ntyp = 3
/
ATOMIC_SPECIES
O 16.00 O.upf
Nd 144.24 Nd.upf
Y 88.91 Y.upf
CELL_PARAMETERS angstrom
-1.843 -3.330 -1.017
3.733 -0.073 1.101
-2.502 -0.414 5.888
ATOMIC_POSITIONS angstrom
O -0.401 -0.504 2.375
Nd 1.307 -1.749 3.356
O 2.004 -1.430 1.049
O -2.065 -2.578 4.550
Y 0.274 -0.209 0.187
O -0.783 -3.106 3.958
```

=====

ΔE_f (raw) for every record listed, in sequence, given in eV/atom: -3.362 -2.807 -1.355 -1.130 -1.049 -2.881.
E_tot for every record listed, in sequence, given in eV/atom: -8.58 -8.09 -7.02 -6.37 -6.87 -8.06.
M_tot for every record listed, in sequence, given in Bohr magnetons per cell: 0.0 0.0 0.0 0.0 0.0 0.0.